Record 1
DFT (PBE) results for a geometry-optimized CaScRe2 structure.

The space group is Cmmm (No. 65) and the conventional cell measures 5.5921, 9.6981 and 2.6947 Å, with angles of 90.00, 90.00 and 90.00 degrees. The distinct sites, in fractional coordinates, are Ca at (0.0000, 0.0000, 0.0000), Sc at (0.0000, 0.5000, 0.0000) and Re at (0.2500, 0.2500, 0.5000).

Its energy of formation is 0.576 eV per atom. Its total magnetic moment is 0.53 μB/cell. As for the total energy: -7.731 eV/atom.

---

Record 2
DFT (PBE) results for a geometry-optimized InCoSb2 structure.

The space group is Cmmm (No. 65) and the conventional cell measures 4.9632, 9.9266 and 4.0207 Å, with angles of 90.00, 90.00 and 90.00 degrees. The distinct sites, in fractional coordinates, are In at (0.0000, 0.0000, 0.0000), Co at (0.0000, 0.5000, 0.0000) and Sb at (0.0000, 0.3418, 0.5000).

The value obtained for the uncorrected formation energy is -0.1 eV per formula unit. Its total magnetic moment is 0.00 μB/cell. As for the total energy: -4.540 eV/atom.

---

Record 3
DFT (PBE) results for a geometry-optimized MgAg5Au6 structure.

The space group is C2/m (No. 12) and the conventional cell measures 9.6652, 8.9418 and 5.0737 Å, with angles of 90.00, 101.06 and 90.00 degrees. The distinct sites, in fractional coordinates, are Mg at (0.0000, 0.0000, 0.0000), Ag at (0.0000, 0.1688, 0.5000), Ag at (0.0000, 0.3351, 0.0000), Ag at (0.0000, 0.5000, 0.5000), Au at (0.2459, 0.0000, 0.7503) and Au at (0.2461, 0.1647, 0.2480).

Its energy of formation is -0.112 eV per atom. Its total magnetic moment is 0.00 μB/cell. As for the total energy: -3.072 eV/atom.

---

Record 4
DFT (PBE) results for a geometry-optimized HfTeRh3 structure.

The space group is Pm-3m (No. 221) and the conventional cell measures 4.7565, 4.7565 and 4.7565 Å, with angles of 90.00, 90.00 and 90.00 degrees. The distinct sites, in fractional coordinates, are Hf at (0.0000, 0.0000, 0.0000), Te at (0.5000, 0.5000, 0.5000) and Rh at (0.0000, 0.5000, 0.5000).

The value obtained for the uncorrected formation energy is 3.1 eV per formula unit. Its total magnetic moment is 0.00 μB/cell. As for the total energy: -6.417 eV/atom.

---

Record 5
DFT (PBE) results for a geometry-optimized KMo2OsSe structure.

The space group is P4/mmm (No. 123) and the conventional cell measures 4.5799, 4.5799 and 4.6807 Å, with angles of 90.00, 90.00 and 90.00 degrees. The distinct sites, in fractional coordinates, are K at (0.0000, 0.0000, 0.0000), Mo at (0.0000, 0.5000, 0.0000), Os at (0.0000, 0.0000, 0.5000) and Se at (0.5000, 0.5000, 0.5000).

The value obtained for the uncorrected formation energy is 17.0 eV per formula unit. Its total magnetic moment is 1.35 μB/cell. As for the total energy: -4.090 eV/atom.

---

Record 6
DFT (PBE) results for a geometry-optimized AlTlCrBi2 structure.

The space group is P4/mmm (No. 123) and the conventional cell measures 5.8568, 5.8568 and 5.0219 Å, with angles of 90.00, 90.00 and 90.00 degrees. The distinct sites, in fractional coordinates, are Al at (0.0000, 0.0000, 0.0000), Tl at (0.0000, 0.0000, 0.5000), Cr at (0.5000, 0.5000, 0.0000) and Bi at (0.0000, 0.5000, 0.5000).

Its energy of formation is 1.650 eV per atom. Its total magnetic moment is 0.73 μB/cell. As for the total energy: -3.049 eV/atom.

---

Record 7
DFT (PBE) results for a geometry-optimized MgRu4Br structure.

The space group is F-43m (No. 216) and the conventional cell measures 7.4221, 7.4221 and 7.4221 Å, with angles of 90.00, 90.00 and 90.00 degrees. The distinct sites, in fractional coordinates, are Mg at (0.0000, 0.0000, 0.0000), Ru at (0.1245, 0.1245, 0.6245) and Br at (0.2500, 0.2500, 0.2500).

The value obtained for the uncorrected formation energy is 4.7 eV per formula unit. Its total magnetic moment is 16.63 μB/cell. As for the total energy: -5.941 eV/atom.

---

Record 8
DFT (PBE) results for a geometry-optimized Zr2PaH8 structure.

The space group is Immm (No. 71) and the conventional cell measures 3.2387, 5.7464 and 9.8988 Å, with angles of 90.00, 90.00 and 90.00 degrees. The distinct sites, in fractional coordinates, are Zr at (0.0000, 0.0000, 0.1706), Pa at (0.0000, 0.0000, 0.5000), H at (0.0000, 0.2188, 0.0000), H at (0.0000, 0.2657, 0.3349) and H at (0.0000, 0.5000, 0.1660).

Its total magnetic moment is 0.01 μB/cell. As for the total energy: -5.218 eV/atom.